# 1
Here is crystalline BeTcBr2 at its relaxed geometry from the Alexandria database. Energies are from PBE-GGA.

a b c (Å): 3.2223 3.2223 7.9533
angles (deg): 90.00 90.00 90.00
Space group P4mm (No. 99)
Symmetry-distinct sites (fractional):
Be (0.0000, 0.0000, 0.0000)
Tc (0.5000, 0.5000, 0.8951)
Br (0.0000, 0.0000, 0.6740)
Br (0.5000, 0.5000, 0.2076)

Summary:
formation energy without anion corrections: 0.9 eV/f.u.
energy relative to the lowest polymorph listed for this composition: 63 kJ/mol of formula units
magnetic moment: 0.84 μB per cell
final energy: -4.123 eV per atom



# 2
Here is crystalline BeTcBr2 at its relaxed geometry from the Alexandria database. Energies are from PBE-GGA.

a b c (Å): 3.2604 3.4460 7.6234
angles (deg): 90.00 90.09 90.00
Space group Pm (No. 6)
Symmetry-distinct sites (fractional):
Be (0.0000, 0.0000, 0.0000)
Tc (0.4998, 0.5000, 0.9350)
Br (0.5010, 0.0000, 0.2220)
Br (0.9988, 0.5000, 0.6816)

Summary:
formation energy without anion corrections: 0.5 eV/f.u.
energy relative to the lowest polymorph listed for this composition: 18 kJ/mol of formula units
magnetic moment: 1.07 μB per cell
final energy: -4.240 eV per atom



# 3
Here is crystalline BeTc2Br at its relaxed geometry from the Alexandria database. Energies are from PBE-GGA.

a b c (Å): 5.9966 5.9966 5.9966
angles (deg): 90.00 90.00 90.00
Space group Fm-3m (No. 225)
Symmetry-distinct sites (fractional):
Be (0.0000, 0.0000, 0.0000)
Tc (0.2500, 0.2500, 0.2500)
Br (0.0000, 0.0000, 0.5000)

Summary:
formation energy without anion corrections: 3.2 eV/f.u.
energy relative to the lowest polymorph listed for this composition: 199 kJ/mol of formula units
magnetic moment: 0.00 μB per cell
final energy: -5.725 eV per atom



# 4
Here is crystalline BeTc3Br at its relaxed geometry from the Alexandria database. Energies are from PBE-GGA.

a b c (Å): 4.2532 4.2532 4.2532
angles (deg): 90.00 90.00 90.00
Space group Pm-3m (No. 221)
Symmetry-distinct sites (fractional):
Be (0.0000, 0.0000, 0.0000)
Tc (0.0000, 0.0000, 0.5000)
Br (0.5000, 0.5000, 0.5000)

Summary:
formation energy without anion corrections: 6.3 eV/f.u.
energy relative to the lowest polymorph listed for this composition: 0 kJ/mol of formula units
magnetic moment: 0.05 μB per cell
final energy: -6.037 eV per atom



# 5
Here is crystalline Be2TcBr at its relaxed geometry from the Alexandria database. Energies are from PBE-GGA.

a b c (Å): 3.6238 3.6238 19.7400
angles (deg): 90.00 90.00 120.00
Space group R3m (No. 160, hexagonal axes)
Symmetry-distinct sites (fractional):
Be (0.0000, 0.0000, 0.0000)
Be (0.0000, 0.0000, 0.3331)
Tc (0.0000, 0.0000, 0.6117)
Br (0.0000, 0.0000, 0.8533)

Summary:
formation energy without anion corrections: 1.2 eV/f.u.
energy relative to the lowest polymorph listed for this composition: 16 kJ/mol of formula units
magnetic moment: 6.04 μB per cell
final energy: -4.585 eV per atom



# 6
Here is crystalline BeTc2Br at its relaxed geometry from the Alexandria database. Energies are from PBE-GGA.

a b c (Å): 8.4287 3.0249 4.7726
angles (deg): 90.00 107.08 90.00
Space group Cm (No. 8)
Symmetry-distinct sites (fractional):
Be (0.0000, 0.0000, 0.0000)
Tc (0.0170, 0.5000, 0.6308)
Tc (0.2780, 0.0000, 0.9605)
Br (0.2575, 0.5000, 0.3755)

Summary:
formation energy without anion corrections: 2.4 eV/f.u.
energy relative to the lowest polymorph listed for this composition: 122 kJ/mol of formula units
magnetic moment: 0.00 μB per cell
final energy: -5.923 eV per atom



- Look up the magnetic moment of the second one.
  1.07 μB per cell